Record 1
Compound: SrRe3Mo
Source: Alexandria via LeMat-Bulk
Functional: PBE
Structure: optimized geometry

Unit cell a=4.652 b=4.652 c=4.652 alpha=90.00 beta=90.00 gamma=90.00
Space group Pm-3m (No. 221)
Asymmetric unit:
1 Sr 0.000 0.000 0.000
2 Re 0.000 0.000 0.500
3 Mo 0.500 0.500 0.500

Summary:
Energy ... -30.9 eV/f.u.
Formation energy from the elements ... 3791 meV per atom

Record 2
Compound: SrReMo
Source: Alexandria via LeMat-Bulk
Functional: PBE
Structure: optimized geometry

Unit cell a=6.473 b=6.473 c=6.473 alpha=90.00 beta=90.00 gamma=90.00
Space group F-43m (No. 216)
Asymmetric unit:
1 Sr 0.000 0.000 0.000
2 Re 0.250 0.250 0.250
3 Mo 0.000 0.000 0.500

Summary:
Energy ... -21.1 eV/f.u.
Formation energy from the elements ... 1298 meV per atom

Record 3
Compound: SrRe2Mo
Source: Alexandria via LeMat-Bulk
Functional: PBE
Structure: optimized geometry

Unit cell a=3.036 b=5.044 c=9.702 alpha=90.00 beta=90.00 gamma=90.00
Space group Immm (No. 71)
Asymmetric unit:
1 Sr 0.000 0.000 0.000
2 Re 0.000 0.500 0.221
3 Mo 0.000 0.000 0.500

Summary:
Energy ... -33.5 eV/f.u.
Formation energy from the elements ... 979 meV per atom

Record 4
Compound: Sr3ReMo
Source: Alexandria via LeMat-Bulk
Functional: PBE
Structure: optimized geometry

Unit cell a=5.819 b=5.819 c=5.819 alpha=90.00 beta=90.00 gamma=90.00
Space group Pm-3m (No. 221)
Asymmetric unit:
1 Sr 0.000 0.000 0.500
2 Re 0.000 0.000 0.000
3 Mo 0.500 0.500 0.500

Summary:
Energy ... -20.7 eV/f.u.
Formation energy from the elements ... 1531 meV per atom

Record 5
Compound: SrRe2Mo
Source: Alexandria via LeMat-Bulk
Functional: PBE
Structure: optimized geometry

Unit cell a=2.9072 b=2.9072 c=29.6603 alpha=90.00 beta=90.00 gamma=120.00
Space group R-3m (No. 166, hexagonal axes)
Asymmetric unit:
1 Sr 0.0000 0.0000 0.0000
2 Re 0.0000 0.0000 0.2390
3 Mo 0.0000 0.0000 0.5000

Summary:
Energy ... -34.0 eV/f.u.
Formation energy from the elements ... 854 meV per atom

Record 6
Compound: SrRe2Mo
Source: Alexandria via LeMat-Bulk
Functional: PBE
Structure: optimized geometry

Unit cell a=9.801 b=3.137 c=5.774 alpha=90.00 beta=104.70 gamma=90.00
Space group Cm (No. 8)
Asymmetric unit:
1 Sr 0.000 0.000 0.000
2 Re 0.006 0.500 0.510
3 Re 0.218 0.000 0.642
4 Mo 0.293 0.500 0.357

Summary:
Energy ... -34.4 eV/f.u.
Formation energy from the elements ... 744 meV per atom

Record 7
Compound: Sr2ReMo
Source: Alexandria via LeMat-Bulk
Functional: PBE
Structure: optimized geometry

Unit cell a=4.062 b=4.062 c=10.722 alpha=90.00 beta=90.00 gamma=90.00
Space group I4/mmm (No. 139)
Asymmetric unit:
1 Sr 0.000 0.500 0.250
2 Re 0.000 0.000 0.000
3 Mo 0.000 0.000 0.500

Summary:
Energy ... -21.7 eV/f.u.
Formation energy from the elements ... 1234 meV per atom

Record 8
Compound: SrRe2Mo
Source: Alexandria via LeMat-Bulk
Functional: PBE
Structure: optimized geometry

Unit cell a=3.007 b=5.174 c=9.937 alpha=90.00 beta=90.00 gamma=90.00
Space group Imm2 (No. 44)
Asymmetric unit:
1 Sr 0.000 0.000 0.000
2 Re 0.000 0.000 0.506
3 Re 0.000 0.500 0.213
4 Mo 0.000 0.500 0.789

Summary:
Energy ... -33.7 eV/f.u.
Formation energy from the elements ... 918 meV per atom

> Among the records above, which one has the lowest energy?

number 6